[1]
A plane-wave DFT calculation with GGA+U was carried out for a geometry-optimized ScMnO2F structure.

Lattice parameters (Å, degrees): 3.9233 3.9233 3.9377 90.00 90.00 90.00
With the nearest neighbours (Å) after each atom.
Space group P4/mmm (No. 123)
Inequivalent atoms, fractional coordinates:
Sc1 0.0000 0.0000 0.0000 [1 per cell]  4 F 2.77, 8 O 2.78
Mn1 0.5000 0.5000 0.5000 [1 per cell]  4 O 1.96, 2 F 1.97
O1 0.0000 0.5000 0.5000 [2 per cell]  2 Mn 1.96
F1 0.5000 0.5000 0.0000 [1 per cell]  2 Mn 1.97

## Properties
The calculation puts the total DFT energy (no corrections) at -35.2 eV per cell. As for the total magnetization: 4.389 Bohr magnetons per cell.

[2]
A plane-wave DFT calculation with GGA+U was carried out for a geometry-optimized MnSiO2F structure.

Lattice parameters (Å, degrees): 3.8933 3.8933 3.9390 90.00 90.00 90.00
With the nearest neighbours (Å) after each atom.
Space group P4/mmm (No. 123)
Inequivalent atoms, fractional coordinates:
Mn1 0.0000 0.0000 0.0000 [1 per cell]  4 O 1.95, 2 F 1.97
Si1 0.5000 0.5000 0.5000 [1 per cell]  4 F 2.75, 8 O 2.77
O1 0.0000 0.5000 0.0000 [2 per cell]  2 Mn 1.95
F1 0.0000 0.0000 0.5000 [1 per cell]  2 Mn 1.97

## Properties
The calculation puts the total DFT energy (no corrections) at -29.8 eV per cell. As for the total magnetization: 4.001 Bohr magnetons per cell.

[3]
A plane-wave DFT calculation with GGA+U was carried out for a geometry-optimized MnSiO2F structure.

Lattice parameters (Å, degrees): 3.5594 3.5594 4.2345 90.00 90.00 90.00
With the nearest neighbours (Å) after each atom.
Space group P4/mmm (No. 123)
Inequivalent atoms, fractional coordinates:
Mn1 0.0000 0.0000 0.0000 [1 per cell]  4 F 2.52, 8 O 2.77
Si1 0.5000 0.5000 0.5000 [1 per cell]  4 O 1.78
O1 0.0000 0.5000 0.5000 [2 per cell]  2 Si 1.78
F1 0.5000 0.5000 0.0000 [1 per cell]  2 Si 2.12

## Properties
The calculation puts the total DFT energy (no corrections) at -32.3 eV per cell. As for the total magnetization: 5.140 Bohr magnetons per cell.

[4]
A plane-wave DFT calculation with GGA+U was carried out for a geometry-optimized MnSnOF2 structure.

Lattice parameters (Å, degrees): 4.5585 4.5585 4.1594 90.00 90.00 90.00
With the nearest neighbours (Å) after each atom.
Space group P4/mmm (No. 123)
Inequivalent atoms, fractional coordinates:
Mn1 0.0000 0.0000 0.0000 [1 per cell]  8 F 3.09, 4 O 3.22
Sn1 0.5000 0.5000 0.5000 [1 per cell]  2 O 2.08, 4 F 2.28
O1 0.5000 0.5000 0.0000 [1 per cell]  2 Sn 2.08
F1 0.0000 0.5000 0.5000 [2 per cell]  2 Sn 2.28

## Properties
The calculation puts the total DFT energy (no corrections) at -26.6 eV per cell. As for the total magnetization: 5.876 Bohr magnetons per cell. The offset from the most stable computed form is 461.2 meV/atom.

Number 1: N(E_F) 2.6 states/eV per cell. Number 2: N(E_F) 0.6 states/eV per cell. Number 3: N(E_F) 1.6 states/eV per cell. Number 4: N(E_F) 0.7 states/eV per cell.